(1)
VASP calculation (GGA-PBEsol) on a relaxed structure of Ba2ZrGaW. Values from VASP.

Cell and atoms, written as Quantum ESPRESSO input:
```
&SYSTEM
  ibrav = 0, nat = 5, ntyp = 4
/
ATOMIC_SPECIES
Zr 91.22 Zr.upf
Ga 69.72 Ga.upf
Ba 137.33 Ba.upf
W 183.84 W.upf
CELL_PARAMETERS angstrom
-1.711 -2.930 3.608
5.423 -1.407 1.429
0.180 4.444 3.694
ATOMIC_POSITIONS crystal
Zr 0.500 0.500 0.500
Ga 0.500 0.000 0.000
Ba 0.000 0.000 0.500
Ba 0.000 0.500 0.000
W 0.000 0.000 0.000
```

Results
Energy   -4.77 eV/atom
Spin magnetization   2.088 μB/f.u.


(2)
VASP calculation (GGA-PBEsol) on a relaxed structure of AlIn2Ag. Values from VASP.

Cell and atoms, written as Quantum ESPRESSO input:
```
&SYSTEM
  ibrav = 0, nat = 4, ntyp = 3
/
ATOMIC_SPECIES
Al 26.98 Al.upf
Ag 107.87 Ag.upf
In 114.82 In.upf
CELL_PARAMETERS angstrom
4.919 0.000 0.000
2.460 4.260 0.000
2.460 1.420 4.017
ATOMIC_POSITIONS crystal
Al 0.750 0.750 0.750
Ag 0.500 0.500 0.500
In 0.000 0.000 0.000
In 0.250 0.250 0.250
```

Results
Energy   -3.17 eV/atom
Spin magnetization   0.000 μB/f.u.


(3)
VASP calculation (GGA-PBEsol) on a relaxed structure of SrAgC2. Values from VASP.

Cell and atoms, written as Quantum ESPRESSO input:
```
&SYSTEM
  ibrav = 0, nat = 8, ntyp = 3
/
ATOMIC_SPECIES
Sr 87.62 Sr.upf
C 12.01 C.upf
Ag 107.87 Ag.upf
CELL_PARAMETERS angstrom
-0.015 -4.100 -1.005
2.254 -0.858 3.464
-7.299 1.571 2.567
ATOMIC_POSITIONS crystal
Sr 0.500 0.500 0.000
Sr 0.750 0.250 0.500
C 0.625 0.875 0.750
C 0.125 0.875 0.750
C 0.125 0.875 0.250
C 0.125 0.375 0.250
Ag 0.000 0.000 0.000
Ag 0.250 0.750 0.500
```

Results
Energy   -4.72 eV/atom
Spin magnetization   0.000 μB/f.u.


(4)
VASP calculation (GGA-PBEsol) on a relaxed structure of La2BRh2. Values from VASP.

Cell and atoms, written as Quantum ESPRESSO input:
```
&SYSTEM
  ibrav = 0, nat = 5, ntyp = 3
/
ATOMIC_SPECIES
B 10.81 B.upf
Rh 102.91 Rh.upf
La 138.91 La.upf
CELL_PARAMETERS angstrom
-2.045 4.102 2.523
-2.974 -4.302 -0.148
-0.608 -0.570 5.165
ATOMIC_POSITIONS crystal
B 0.000 0.000 0.000
Rh 0.000 0.291 0.709
Rh 0.000 0.709 0.291
La 0.500 0.250 0.250
La 0.500 0.750 0.750
```

Results
Energy   -7.10 eV/atom
Spin magnetization   0.000 μB/f.u.


(5)
VASP calculation (GGA-PBEsol) on a relaxed structure of Mn2Tl2Pb. Values from VASP.

Cell and atoms, written as Quantum ESPRESSO input:
```
&SYSTEM
  ibrav = 0, nat = 5, ntyp = 3
/
ATOMIC_SPECIES
Mn 54.94 Mn.upf
Pb 207.20 Pb.upf
Tl 204.38 Tl.upf
CELL_PARAMETERS angstrom
-1.215 3.889 -0.780
-3.211 -0.485 2.581
5.812 0.400 3.973
ATOMIC_POSITIONS crystal
Mn 0.594 0.594 0.189
Mn 0.406 0.406 0.811
Pb 0.000 0.000 0.000
Tl 0.250 0.750 0.500
Tl 0.750 0.250 0.500
```

Results
Energy   -5.08 eV/atom
Spin magnetization   6.923 μB/f.u.


(6)
VASP calculation (GGA-PBEsol) on a relaxed structure of Cr4Fe. Values from VASP.

Cell and atoms, written as Quantum ESPRESSO input:
```
&SYSTEM
  ibrav = 0, nat = 5, ntyp = 2
/
ATOMIC_SPECIES
Cr 52.00 Cr.upf
Fe 55.84 Fe.upf
CELL_PARAMETERS angstrom
-1.750 2.201 -0.034
-3.503 -1.033 -2.840
-3.110 -0.625 3.368
ATOMIC_POSITIONS crystal
Cr 0.196 0.198 0.409
Cr 0.804 0.802 0.591
Cr 0.394 0.409 0.802
Cr 0.606 0.591 0.198
Fe 0.000 0.000 0.000
```

Results
Energy   -9.90 eV/atom
Spin magnetization   1.396 μB/f.u.


(7)
VASP calculation (GGA-PBEsol) on a relaxed structure of Cs3YF6. Values from VASP.

Cell and atoms, written as Quantum ESPRESSO input:
```
&SYSTEM
  ibrav = 0, nat = 10, ntyp = 3
/
ATOMIC_SPECIES
Cs 132.91 Cs.upf
Y 88.91 Y.upf
F 19.00 F.upf
CELL_PARAMETERS angstrom
6.960 0.000 0.000
3.480 6.027 0.000
3.480 2.009 5.683
ATOMIC_POSITIONS crystal
Cs 0.750 0.750 0.750
Cs 0.250 0.250 0.250
Cs 0.500 0.500 0.500
Y 0.000 0.000 0.000
F 0.219 0.781 0.219
F 0.219 0.219 0.781
F 0.781 0.781 0.219
F 0.219 0.781 0.781
F 0.781 0.219 0.781
F 0.781 0.219 0.219
```

Results
Formation energy from raw total energies   -76.228 kcal/mol of atoms
Energy   -5.43 eV/atom
Spin magnetization   0.001 μB/f.u.


(8)
VASP calculation (GGA-PBEsol) on a relaxed structure of Mg2TaTe. Values from VASP.

Cell and atoms, written as Quantum ESPRESSO input:
```
&SYSTEM
  ibrav = 0, nat = 4, ntyp = 3
/
ATOMIC_SPECIES
Mg 24.30 Mg.upf
Ta 180.95 Ta.upf
Te 127.60 Te.upf
CELL_PARAMETERS angstrom
3.480 0.000 0.000
0.000 4.587 0.000
-1.740 -2.293 4.995
ATOMIC_POSITIONS crystal
Mg 0.753 0.753 0.505
Mg 0.247 0.247 0.495
Ta 0.000 0.500 0.000
Te 0.500 0.000 0.000
```

Results
Formation energy from raw total energies   4.544 kcal/mol of atoms
Energy   -4.68 eV/atom
Spin magnetization   0.000 μB/f.u.


Look up the spin magnetization of the first one. 2.088 μB/f.u.